[1]
A plane-wave DFT calculation with PBE was carried out for a geometry-optimized Cd2B2As structure.

## Properties
ΔH_f (0 K): 880 meV per atom
Energy above the lowest structure with this stoichiometry: 0.0673 eV per atom

a b c (Å): 4.0426 4.0426 9.7447
angles (deg): 90.00 90.00 90.00
With the nearest neighbours (Å) after each atom.
Space group I4/mmm (No. 139)
Unique sites:
1 Cd 0.0000 0.5000 0.2500 x4  4 B 2.59, 4 Cd 2.86
2 B 0.0000 0.0000 0.0832 x4  1 B 1.62
3 As 0.0000 0.0000 0.5000 x2  8 B 2.97, 8 Cd 3.17



[2]
A plane-wave DFT calculation with PBE was carried out for a geometry-optimized CrTcCl2 structure.

## Properties
Uncorrected formation energy: 164 kJ/mol of formula units
Energy above the lowest structure with this stoichiometry: 0.6148 eV per atom

a b c (Å): 3.1692 4.0818 5.2741
angles (deg): 90.00 94.00 90.00
With the nearest neighbours (Å) after each atom.
Space group P2/m (No. 10)
Unique sites:
1 Cr 0.0000 0.0000 0.0000 x1  4 Cl 2.58
2 Tc 0.5000 0.0000 0.5000 x1  4 Cl 2.48
3 Cl 0.2921 0.5000 0.2552 x2  2 Tc 2.48, 2 Cr 2.58



[3]
A plane-wave DFT calculation with PBE was carried out for a geometry-optimized NaHfTe3Pd structure.

## Properties
Uncorrected formation energy: -438 kJ/mol of formula units

a b c (Å): 8.3763 3.9558 10.5852
angles (deg): 90.00 109.99 90.00
With the nearest neighbours (Å) after each atom.
Space group P2_1/m (No. 11)
Unique sites:
1 Na 0.2408 0.2500 0.2111 x2  6 Te 3.27-3.33
2 Hf 0.2068 0.7500 0.6792 x2  6 Te 2.86-3.04, 2 Pd 3.04
3 Te 0.0682 0.7500 0.3739 x2  3 Hf 2.94-3.04, 2 Na 3.27
4 Te 0.2360 0.7500 0.9567 x2  3 Pd 2.70-2.83, 1 Hf 2.86
5 Te 0.4347 0.2500 0.6417 x2  1 Pd 2.71, 2 Hf 2.87
6 Pd 0.4125 0.2500 0.8909 x2  4 Te 2.70-2.83, 2 Pd 3.01



[4]
A plane-wave DFT calculation with PBE was carried out for a geometry-optimized MgHgSb2 structure.

## Properties
Uncorrected formation energy: 11 kJ/mol of formula units
Energy above the lowest structure with this stoichiometry: 0.0716 eV per atom

a b c (Å): 4.4754 4.4754 5.1459
angles (deg): 90.00 90.00 90.00
With the nearest neighbours (Å) after each atom.
Space group P4/mmm (No. 123)
Unique sites:
1 Mg 0.0000 0.0000 0.0000 x1  4 Hg 3.16, 8 Sb 3.41
2 Hg 0.5000 0.5000 0.0000 x1  4 Mg 3.16, 8 Sb 3.41
3 Sb 0.0000 0.5000 0.5000 x2  4 Sb 3.16, 4 Hg 3.41, 4 Mg 3.41



[5]
A plane-wave DFT calculation with PBE was carried out for a geometry-optimized TlBiAuS2 structure.

## Properties
Uncorrected formation energy: -79 kJ/mol of formula units

a b c (Å): 7.0019 4.9090 8.4308
angles (deg): 90.00 99.44 90.00
With the nearest neighbours (Å) after each atom.
Space group P2/c (No. 13)
Unique sites:
1 Tl 0.0000 0.1254 0.2500 x2  4 S 3.19-3.26
2 Bi 0.5000 0.4528 0.7500 x2  4 S 2.87-2.93, 2 Au 3.06
3 Au 0.5000 0.0000 0.0000 x2  2 S 2.36
4 S 0.2442 0.3194 0.9723 x4  1 Au 2.36



[6]
A plane-wave DFT calculation with PBE was carried out for a geometry-optimized Ca2TmHg structure.

## Properties
ΔH_f (0 K): -107 meV per atom
Energy above the lowest structure with this stoichiometry: 0.0237 eV per atom

a b c (Å): 3.7602 3.7602 32.0880
angles (deg): 90.00 90.00 120.00
With the nearest neighbours (Å) after each atom.
Space group R3m (No. 160, hexagonal axes)
Unique sites:
1 Ca 0.0000 0.0000 0.0000 x3  3 Hg 3.22
2 Ca 0.0000 0.0000 0.1858 x3  3 Hg 3.21
3 Tm 0.0000 0.0000 0.4270 x3  6 Ca 3.67-3.71, 6 Tm 3.76
4 Hg 0.0000 0.0000 0.5927 x3  6 Ca 3.21-3.22